Record 1
4
Lattice="-0.272 -1.636 1.795 -0.744 -2.270 -0.518 4.880 -2.867 -0.209" Properties=species:S:1:pos:R:3 comment="MnCN2, relaxed, DFT GGA-PBEsol" e_tot_ev_per_atom=-7.92 n_ef_per_ev_atom=0.60 raw_formation_energy_ev_per_atom=1.20 magmom_total_mub_per_fu=0.00 spacegroup=R-3m pbc="T T T"
C 1.932 -3.386 0.534
Mn 0.000 0.000 0.000
N 0.725 -4.428 1.065
N 3.139 -2.345 0.003


Record 2
4
Lattice="-2.543 3.392 -2.912 -4.472 1.948 1.632 -0.284 4.928 1.446" Properties=species:S:1:pos:R:3 comment="KTiSn2, relaxed, DFT GGA-PBEsol" e_tot_ev_per_atom=-4.27 n_ef_per_ev_atom=1.29 formation_enthalpy_0k_ev_per_atom=0.223 magmom_total_mub_per_fu=1.51 spacegroup=Fm-3m pbc="T T T"
K 0.000 0.000 0.000
Sn -1.825 2.567 0.041
Sn -5.475 7.701 0.124
Ti -3.650 5.134 0.083